{"formula": "ZrW2C", "functional": "GGA-PBEsol", "state": "optimized geometry", "final_energy_ev_per_atom": -11.354, "density_g_cm3": 13.70, "delta_e_f_ev_per_atom": 0.2327, "lattice_angstrom": [[2.826, 0.017, 0.000], [-1.014, 2.638, 0.000], [0.000, 0.000, 7.638]], "species": ["C", "Zr", "W", "W"], "fractional_positions": [[0.500, 0.500, 0.237], [0.000, 0.000, 0.448], [0.000, 0.000, 0.052], [0.500, 0.500, 0.763]]}